Material: CsBa2Cu2
Method: DFT, PBE-GGA
State: optimized geometry

abc: 9.1409 9.1409 4.7582
angles: 90.00 90.00 90.00
Space group P4/mbm (No. 127)
Symmetry-distinct sites (fractional):
Cs: 0.0000 0.0000 0.0000 [2 per cell]
Ba: 0.1594 0.3406 0.5000 [4 per cell]
Cu: 0.0967 0.5967 0.0000 [4 per cell]

Properties
E above lowest polymorph	0	meV per atom
size of the total moment	0.0	μB per formula unit

=====

Material: Cs3BaCu
Method: DFT, PBE-GGA
State: optimized geometry

abc: 7.2286 7.2286 7.2286
angles: 90.00 90.00 90.00
Space group Pm-3m (No. 221)
Symmetry-distinct sites (fractional):
Cs: 0.0000 0.0000 0.5000 [3 per cell]
Ba: 0.5000 0.5000 0.5000 [1 per cell]
Cu: 0.0000 0.0000 0.0000 [1 per cell]

Properties
size of the total moment	1.8	μB per formula unit

=====

no.,density (g/cm3),formation energy from the elements (eV per atom)
1,4.5,0.150
2,2.6,0.332